# 1
# PBE-GGA CdTeBr, relaxed
# Raw total energy: -2.457 eV per atom
# Energy relative to the elements, uncorrected: -1.642 eV per formula unit
data_CdTeBr
_cell_length_a 4.566
_cell_length_b 6.396
_cell_length_c 7.798
_cell_angle_alpha 76.64
_cell_angle_beta 89.89
_cell_angle_gamma 89.39
_space_group_name_H-M_alt 'P 1'
_space_group_IT_number 1
_space_group_name_Hall 'P 1'
loop_
_atom_site_label
_atom_site_type_symbol
_atom_site_fract_x
_atom_site_fract_y
_atom_site_fract_z
Cd1 Cd 0.498 0.629 0.696
Br1 Br 0.497 0.788 0.345
Cd2 Cd 0.502 0.371 0.304
Te1 Te 0.004 0.293 0.109
Te2 Te 0.996 0.707 0.891
Br2 Br 0.503 0.212 0.655

***

# 2
# PBE-GGA Cd2TeBr, relaxed
# Raw total energy: -2.050 eV per atom
# Energy relative to the elements, uncorrected: -1.557 eV per formula unit
# D(E_F): 1.4 states/eV/cell
data_Cd2TeBr
_cell_length_a 4.349
_cell_length_b 4.353
_cell_length_c 6.068
_cell_angle_alpha 90.00
_cell_angle_beta 90.00
_cell_angle_gamma 90.00
_space_group_name_H-M_alt 'P 1'
_space_group_IT_number 1
_space_group_name_Hall 'P 1'
loop_
_atom_site_label
_atom_site_type_symbol
_atom_site_fract_x
_atom_site_fract_y
_atom_site_fract_z
Br1 Br 0.500 0.500 0.875
Te1 Te 0.000 0.000 0.375
Cd1 Cd 0.500 0.500 0.375
Cd2 Cd 0.000 0.000 0.875

***

# 3
# PBE-GGA CdTeBr2, relaxed
# Raw total energy: -1.711 eV per atom
# Energy relative to the elements, uncorrected: 0.557 eV per formula unit
# D(E_F): 5.7 states/eV/cell
data_CdTeBr2
_cell_length_a 5.327
_cell_length_b 5.327
_cell_length_c 5.327
_cell_angle_alpha 60.00
_cell_angle_beta 60.00
_cell_angle_gamma 60.00
_space_group_name_H-M_alt 'P 1'
_space_group_IT_number 1
_space_group_name_Hall 'P 1'
loop_
_atom_site_label
_atom_site_type_symbol
_atom_site_fract_x
_atom_site_fract_y
_atom_site_fract_z
Cd1 Cd 0.500 0.500 0.500
Te1 Te 0.750 0.750 0.750
Br1 Br 0.250 0.250 0.250
Br2 Br 0.000 0.000 0.000

***

# 4
# PBE-GGA CdTe2Br, relaxed
# Raw total energy: -2.170 eV per atom
# Energy relative to the elements, uncorrected: 0.192 eV per formula unit
# D(E_F): 2.9 states/eV/cell
data_CdTe2Br
_cell_length_a 4.117
_cell_length_b 4.117
_cell_length_c 8.201
_cell_angle_alpha 90.00
_cell_angle_beta 90.00
_cell_angle_gamma 114.86
_space_group_name_H-M_alt 'P 1'
_space_group_IT_number 1
_space_group_name_Hall 'P 1'
loop_
_atom_site_label
_atom_site_type_symbol
_atom_site_fract_x
_atom_site_fract_y
_atom_site_fract_z
Te1 Te 0.000 0.000 0.538
Te2 Te 0.000 0.000 0.962
Br1 Br 0.500 0.500 0.250
Cd1 Cd 0.500 0.500 0.750

***

# 5
# PBE-GGA CdTeBr2, relaxed
# Raw total energy: -1.657 eV per atom
# Energy relative to the elements, uncorrected: 0.775 eV per formula unit
# D(E_F): 4.9 states/eV/cell
data_CdTeBr2
_cell_length_a 5.771
_cell_length_b 5.771
_cell_length_c 5.771
_cell_angle_alpha 130.36
_cell_angle_beta 130.36
_cell_angle_gamma 72.83
_space_group_name_H-M_alt 'P 1'
_space_group_IT_number 1
_space_group_name_Hall 'P 1'
loop_
_atom_site_label
_atom_site_type_symbol
_atom_site_fract_x
_atom_site_fract_y
_atom_site_fract_z
Br1 Br 0.500 0.500 0.000
Cd1 Cd 0.250 0.750 0.500
Br2 Br 0.000 0.000 0.000
Te1 Te 0.750 0.250 0.500

***

# 6
# PBE-GGA CdTeBr2, relaxed
# Raw total energy: -1.806 eV per atom
# Energy relative to the elements, uncorrected: 0.179 eV per formula unit
# D(E_F): 1.4 states/eV/cell
data_CdTeBr2
_cell_length_a 12.171
_cell_length_b 12.171
_cell_length_c 12.171
_cell_angle_alpha 17.61
_cell_angle_beta 17.61
_cell_angle_gamma 17.61
_space_group_name_H-M_alt 'P 1'
_space_group_IT_number 1
_space_group_name_Hall 'P 1'
loop_
_atom_site_label
_atom_site_type_symbol
_atom_site_fract_x
_atom_site_fract_y
_atom_site_fract_z
Br1 Br 0.933 0.933 0.933
Br2 Br 0.067 0.067 0.067
Cd1 Cd 0.000 0.000 0.000
Te1 Te 0.500 0.500 0.500

***

# 7
# PBE-GGA CdTeBr2, relaxed
# Raw total energy: -1.637 eV per atom
# Energy relative to the elements, uncorrected: 0.853 eV per formula unit
# D(E_F): 2.5 states/eV/cell
data_CdTeBr2
_cell_length_a 5.423
_cell_length_b 5.423
_cell_length_c 5.423
_cell_angle_alpha 60.00
_cell_angle_beta 60.00
_cell_angle_gamma 60.00
_space_group_name_H-M_alt 'P 1'
_space_group_IT_number 1
_space_group_name_Hall 'P 1'
loop_
_atom_site_label
_atom_site_type_symbol
_atom_site_fract_x
_atom_site_fract_y
_atom_site_fract_z
Cd1 Cd 0.000 0.000 0.000
Te1 Te 0.500 0.500 0.500
Br1 Br 0.750 0.750 0.750
Br2 Br 0.250 0.250 0.250

***

# 8
# PBE-GGA CdTeBr4, relaxed
# Raw total energy: -1.216 eV per atom
# Energy relative to the elements, uncorrected: 3.451 eV per formula unit
# D(E_F): 5.5 states/eV/cell
data_CdTeBr4
_cell_length_a 6.329
_cell_length_b 6.329
_cell_length_c 6.329
_cell_angle_alpha 60.00
_cell_angle_beta 60.00
_cell_angle_gamma 60.00
_space_group_name_H-M_alt 'P 1'
_space_group_IT_number 1
_space_group_name_Hall 'P 1'
loop_
_atom_site_label
_atom_site_type_symbol
_atom_site_fract_x
_atom_site_fract_y
_atom_site_fract_z
Te1 Te 0.000 0.000 0.000
Br1 Br 0.375 0.375 0.875
Br2 Br 0.875 0.375 0.375
Br3 Br 0.375 0.375 0.375
Cd1 Cd 0.750 0.750 0.750
Br4 Br 0.375 0.875 0.375

***

# 9
# PBE-GGA Cd2TeBr, relaxed
# Raw total energy: -1.580 eV per atom
# Energy relative to the elements, uncorrected: 0.326 eV per formula unit
# D(E_F): 2.5 states/eV/cell
data_Cd2TeBr
_cell_length_a 3.295
_cell_length_b 5.279
_cell_length_c 6.297
_cell_angle_alpha 90.00
_cell_angle_beta 90.00
_cell_angle_gamma 90.00
_space_group_name_H-M_alt 'P 1'
_space_group_IT_number 1
_space_group_name_Hall 'P 1'
loop_
_atom_site_label
_atom_site_type_symbol
_atom_site_fract_x
_atom_site_fract_y
_atom_site_fract_z
Te1 Te 0.500 0.000 0.500
Br1 Br 0.000 0.500 0.500
Cd1 Cd 0.500 0.500 0.000
Cd2 Cd 0.000 0.000 0.000

***

# 10
# PBE-GGA CdTe2Br, relaxed
# Raw total energy: -2.325 eV per atom
# Energy relative to the elements, uncorrected: -0.427 eV per formula unit
# D(E_F): 0.7 states/eV/cell
data_CdTe2Br
_cell_length_a 4.305
_cell_length_b 4.305
_cell_length_c 9.635
_cell_angle_alpha 90.00
_cell_angle_beta 90.00
_cell_angle_gamma 126.12
_space_group_name_H-M_alt 'P 1'
_space_group_IT_number 1
_space_group_name_Hall 'P 1'
loop_
_atom_site_label
_atom_site_type_symbol
_atom_site_fract_x
_atom_site_fract_y
_atom_site_fract_z
Br1 Br 0.000 0.000 0.560
Cd1 Cd 0.500 0.500 0.753
Te1 Te 0.500 0.500 0.203
Te2 Te 0.000 0.000 0.984

***

# 11
# PBE-GGA CdTe2Br, relaxed
# Raw total energy: -2.337 eV per atom
# Energy relative to the elements, uncorrected: -0.477 eV per formula unit
# D(E_F): 2.0 states/eV/cell
data_CdTe2Br
_cell_length_a 7.850
_cell_length_b 7.850
_cell_length_c 7.850
_cell_angle_alpha 150.60
_cell_angle_beta 147.63
_cell_angle_gamma 44.29
_space_group_name_H-M_alt 'P 1'
_space_group_IT_number 1
_space_group_name_Hall 'P 1'
loop_
_atom_site_label
_atom_site_type_symbol
_atom_site_fract_x
_atom_site_fract_y
_atom_site_fract_z
Te1 Te 0.024 0.024 0.000
Cd1 Cd 0.250 0.750 0.500
Te2 Te 0.476 0.476 0.000
Br1 Br 0.750 0.250 0.500

***

# 12
# PBE-GGA CdTe2Br, relaxed
# Raw total energy: -2.205 eV per atom
# Energy relative to the elements, uncorrected: 0.051 eV per formula unit
# D(E_F): 1.5 states/eV/cell
data_CdTe2Br
_cell_length_a 3.920
_cell_length_b 3.920
_cell_length_c 7.664
_cell_angle_alpha 90.00
_cell_angle_beta 90.00
_cell_angle_gamma 90.00
_space_group_name_H-M_alt 'P 1'
_space_group_IT_number 1
_space_group_name_Hall 'P 1'
loop_
_atom_site_label
_atom_site_type_symbol
_atom_site_fract_x
_atom_site_fract_y
_atom_site_fract_z
Te1 Te 0.000 0.000 0.939
Te2 Te 0.000 0.000 0.561
Cd1 Cd 0.500 0.500 0.750
Br1 Br 0.500 0.500 0.250

***

- The highest energy relative to the elements, uncorrected belongs to which entry?
  CdTeBr4

***

- Which of these has the lowest energy relative to the elements, uncorrected?
  CdTeBr

***

- The lowest raw total energy belongs to which entry?
  CdTeBr

***

- Which value of energy relative to the elements, uncorrected does entry 8 give?
  3.451 eV per formula unit